1.
Below is an optimized crystal structure of Cs2Ag2BiI6, with properties calculated at the PBE-GGA level.

space group	R-3m

a = 9.105 Å, b = 9.105 Å, c = 9.164 Å
α = 60.21°, β = 60.21°, γ = 60.00°
Atoms (fractional coordinates):
Cs  0.768  0.768  0.695
Cs  0.232  0.232  0.305
Ag  0.438  0.438  0.687
Ag  0.562  0.562  0.313
Bi  0.000  0.000  0.000
I  0.756  0.756  0.259
I  0.228  0.756  0.259
I  0.756  0.228  0.259
I  0.244  0.772  0.741
I  0.772  0.244  0.741
I  0.244  0.244  0.741

---

2.
Below is an optimized crystal structure of CsAg2BiI6, with properties calculated at the PBE-GGA level.

space group	C2/c

a = 8.297 Å, b = 10.825 Å, c = 10.825 Å
α = 90.40°, β = 85.17°, γ = 85.17°
Atoms (fractional coordinates):
Cs  0.250  0.918  0.082
Cs  0.750  0.082  0.918
Ag  0.222  0.676  0.525
Ag  0.278  0.475  0.324
Ag  0.778  0.324  0.475
Ag  0.722  0.525  0.676
Bi  0.250  0.270  0.730
Bi  0.750  0.730  0.270
I  0.160  0.006  0.739
I  0.340  0.261  0.994
I  0.840  0.994  0.261
I  0.660  0.739  0.006
I  0.414  0.839  0.396
I  0.086  0.604  0.161
I  0.586  0.161  0.604
I  0.914  0.396  0.839
I  0.883  0.710  0.546
I  0.617  0.454  0.290
I  0.117  0.290  0.454
I  0.383  0.546  0.710

---

3.
Below is an optimized crystal structure of Cs3Ag2BiI9, with properties calculated at the PBE-GGA level.

space group	P-3m1

a = 8.517 Å, b = 8.517 Å, c = 10.529 Å
α = 90.00°, β = 90.00°, γ = 120.00°
Atoms (fractional coordinates):
Cs  0.333  0.667  0.677
Cs  0.000  0.000  0.000
Cs  0.667  0.333  0.323
Ag  0.333  0.667  0.151
Ag  0.667  0.333  0.849
Bi  0.000  0.000  0.500
I  0.830  0.170  0.670
I  0.830  0.659  0.670
I  0.341  0.170  0.670
I  0.659  0.830  0.330
I  0.170  0.341  0.330
I  0.170  0.830  0.330
I  0.500  0.000  0.000
I  0.000  0.500  0.000
I  0.500  0.500  0.000

---

4.
Below is an optimized crystal structure of Cs3Ag2BiI8, with properties calculated at the PBE-GGA level.

space group	P-3m1

a = 8.637 Å, b = 8.637 Å, c = 11.027 Å
α = 90.00°, β = 90.00°, γ = 120.00°
Atoms (fractional coordinates):
Cs  0.333  0.667  0.620
Cs  0.667  0.333  0.380
Cs  0.000  0.000  0.000
Ag  0.333  0.667  0.198
Ag  0.667  0.333  0.802
Bi  0.000  0.000  0.500
I  0.333  0.667  0.955
I  0.667  0.333  0.045
I  0.164  0.836  0.328
I  0.836  0.164  0.672
I  0.164  0.329  0.328
I  0.836  0.671  0.672
I  0.671  0.836  0.328
I  0.329  0.164  0.672

---

Results for formation energy (no corrections): -0.69; -0.57; -0.80; -0.84 (in eV/atom, following the order of the records).
Results for E_tot: -2.5579; -2.5437; -2.5350; -2.5902 (in eV/atom, following the order of the records).